No. 1
# Zn2Ni5SnB2 | Alexandria | GGA-PBE | relaxed
# crystal system = tetragonal
# volume = 11.6 A^3/atom
# DOS at the Fermi energy = 0.43 states/eV/atom
# electronic total energy = -5.043 eV/atom
# size of the total moment = 0.0 μB/cell
data_Zn2Ni5SnB2
_chemical_formula_sum 'Zn4 Ni10 Sn2 B4'
_cell_length_a 8.9172
_cell_length_b 8.9172
_cell_length_c 2.9218
_cell_angle_alpha 90.00
_cell_angle_beta 90.00
_cell_angle_gamma 90.00
_space_group_name_H-M_alt 'P 4/m b m'
_space_group_IT_number 127
_space_group_name_Hall '-P 4 2ab'
loop_
_atom_site_label
_atom_site_fract_x
_atom_site_fract_y
_atom_site_fract_z
_atom_site_occupancy
Zn1 0.1772 0.3228 0.0000 1
Ni1 0.0000 0.5000 0.5000 1
Ni2 0.0697 0.7685 0.5000 1
Sn1 0.0000 0.0000 0.0000 1
B1 0.1192 0.6192 0.0000 1

=====

No. 2
# SrNiB | Alexandria | GGA-PBE | relaxed
# crystal system = orthorhombic
# volume = 19.5 A^3/atom
# DOS at the Fermi energy = 0.47 states/eV/atom
# electronic total energy = -4.532 eV/atom
# size of the total moment = 0.0 μB/cell
data_SrNiB
_chemical_formula_sum 'Sr4 Ni4 B4'
_cell_length_a 3.7762
_cell_length_b 11.3120
_cell_length_c 5.4751
_cell_angle_alpha 90.00
_cell_angle_beta 90.00
_cell_angle_gamma 90.00
_space_group_name_H-M_alt 'C m c m'
_space_group_IT_number 63
_space_group_name_Hall '-C 2c 2'
loop_
_atom_site_label
_atom_site_fract_x
_atom_site_fract_y
_atom_site_fract_z
_atom_site_occupancy
Sr1 0.0000 0.1494 0.2500 1
Ni1 0.0000 0.4245 0.2500 1
B1 0.0000 0.1041 0.7500 1

=====

- Among the records above, which one has the lowest electronic total energy?
  Zn2Ni5SnB2